[1]
Density functional theory data (PBE) for an optimized crystal structure of Tl2CoOs.

Structure (CIF):
```
data_Tl2CoOs
_chemical_formula_sum 'Tl2 Co1 Os1'
_cell_length_a 3.0311
_cell_length_b 3.0311
_cell_length_c 8.8097
_cell_angle_alpha 90.00
_cell_angle_beta 90.00
_cell_angle_gamma 90.00
_space_group_name_H-M_alt 'P 1'
_space_group_IT_number 1
_space_group_name_Hall 'P 1'
loop_
_atom_site_label
_atom_site_fract_x
_atom_site_fract_y
_atom_site_fract_z
Tl1 0.0000 0.0000 0.0000
Tl2 0.5000 0.5000 0.3576
Co1 0.0000 0.0000 0.6057
Os1 0.5000 0.5000 0.7414
```

Computed properties:
Fermi-level density of states: 4.7 states/eV/f.u.
Final energy: -5.164 eV/atom
Calculated formation energy: 0.603 eV per atom

=====

[2]
Density functional theory data (PBE) for an optimized crystal structure of TlCoOs.

Structure (CIF):
```
data_TlCoOs
_chemical_formula_sum 'Tl4 Co4 Os4'
_cell_length_a 5.9335
_cell_length_b 5.9335
_cell_length_c 5.9335
_cell_angle_alpha 90.00
_cell_angle_beta 90.00
_cell_angle_gamma 90.00
_space_group_name_H-M_alt 'P 1'
_space_group_IT_number 1
_space_group_name_Hall 'P 1'
loop_
_atom_site_label
_atom_site_fract_x
_atom_site_fract_y
_atom_site_fract_z
Tl1 0.0000 0.0000 0.0000
Tl2 0.0000 0.5000 0.5000
Tl3 0.5000 0.0000 0.5000
Tl4 0.5000 0.5000 0.0000
Co1 0.2500 0.2500 0.7500
Co2 0.2500 0.7500 0.2500
Co3 0.7500 0.2500 0.2500
Co4 0.7500 0.7500 0.7500
Os1 0.0000 0.0000 0.5000
Os2 0.0000 0.5000 0.0000
Os3 0.5000 0.0000 0.0000
Os4 0.5000 0.5000 0.5000
```

Computed properties:
Fermi-level density of states: 2.8 states/eV/f.u.
Final energy: -6.005 eV/atom
Calculated formation energy: 0.896 eV per atom

=====

[3]
Density functional theory data (PBE) for an optimized crystal structure of TlCoOs2.

Structure (CIF):
```
data_TlCoOs2
_chemical_formula_sum 'Tl4 Co4 Os8'
_cell_length_a 6.2464
_cell_length_b 6.2464
_cell_length_c 6.2464
_cell_angle_alpha 90.00
_cell_angle_beta 90.00
_cell_angle_gamma 90.00
_space_group_name_H-M_alt 'P 1'
_space_group_IT_number 1
_space_group_name_Hall 'P 1'
loop_
_atom_site_label
_atom_site_fract_x
_atom_site_fract_y
_atom_site_fract_z
Tl1 0.0000 0.0000 0.0000
Tl2 0.0000 0.5000 0.5000
Tl3 0.5000 0.0000 0.5000
Tl4 0.5000 0.5000 0.0000
Co1 0.0000 0.0000 0.5000
Co2 0.0000 0.5000 0.0000
Co3 0.5000 0.0000 0.0000
Co4 0.5000 0.5000 0.5000
Os1 0.2500 0.2500 0.2500
Os2 0.2500 0.2500 0.7500
Os3 0.2500 0.7500 0.2500
Os4 0.2500 0.7500 0.7500
Os5 0.7500 0.2500 0.2500
Os6 0.7500 0.2500 0.7500
Os7 0.7500 0.7500 0.2500
Os8 0.7500 0.7500 0.7500
```

Computed properties:
Fermi-level density of states: 2.9 states/eV/f.u.
Final energy: -6.939 eV/atom
Calculated formation energy: 1.044 eV per atom

=====

[4]
Density functional theory data (PBE) for an optimized crystal structure of TlCoOs2.

Structure (CIF):
```
data_TlCoOs2
_chemical_formula_sum 'Tl1 Co1 Os2'
_cell_length_a 2.8586
_cell_length_b 3.1123
_cell_length_c 7.0291
_cell_angle_alpha 90.00
_cell_angle_beta 90.00
_cell_angle_gamma 90.00
_space_group_name_H-M_alt 'P 1'
_space_group_IT_number 1
_space_group_name_Hall 'P 1'
loop_
_atom_site_label
_atom_site_fract_x
_atom_site_fract_y
_atom_site_fract_z
Tl1 0.0000 0.0000 0.0000
Co1 0.0000 0.0000 0.5000
Os1 0.5000 0.5000 0.3082
Os2 0.5000 0.5000 0.6918
```

Computed properties:
Fermi-level density of states: 4.4 states/eV/f.u.
Final energy: -7.199 eV/atom
Calculated formation energy: 0.783 eV per atom

=====

[5]
Density functional theory data (PBE) for an optimized crystal structure of Tl2CoOs.

Structure (CIF):
```
data_Tl2CoOs
_chemical_formula_sum 'Tl4 Co2 Os2'
_cell_length_a 4.0722
_cell_length_b 3.9812
_cell_length_c 9.8160
_cell_angle_alpha 90.00
_cell_angle_beta 90.00
_cell_angle_gamma 90.00
_space_group_name_H-M_alt 'P 1'
_space_group_IT_number 1
_space_group_name_Hall 'P 1'
loop_
_atom_site_label
_atom_site_fract_x
_atom_site_fract_y
_atom_site_fract_z
Tl1 0.0000 0.0000 0.0000
Tl2 0.0000 0.5000 0.5000
Tl3 0.5000 0.0000 0.3019
Tl4 0.5000 0.5000 0.8019
Co1 0.5000 0.0000 0.5939
Co2 0.5000 0.5000 0.0939
Os1 0.0000 0.0000 0.7118
Os2 0.0000 0.5000 0.2118
```

Computed properties:
Fermi-level density of states: 4.1 states/eV/f.u.
Final energy: -5.020 eV/atom
Calculated formation energy: 0.747 eV per atom

=====

[6]
Density functional theory data (PBE) for an optimized crystal structure of TlCoOs2.

Structure (CIF):
```
data_TlCoOs2
_chemical_formula_sum 'Tl2 Co2 Os4'
_cell_length_a 5.2308
_cell_length_b 8.2289
_cell_length_c 2.8932
_cell_angle_alpha 90.00
_cell_angle_beta 90.00
_cell_angle_gamma 90.00
_space_group_name_H-M_alt 'P 1'
_space_group_IT_number 1
_space_group_name_Hall 'P 1'
loop_
_atom_site_label
_atom_site_fract_x
_atom_site_fract_y
_atom_site_fract_z
Tl1 0.0000 0.0000 0.0000
Tl2 0.5000 0.5000 0.0000
Co1 0.0000 0.5000 0.0000
Co2 0.5000 0.0000 0.0000
Os1 0.2500 0.2500 0.5000
Os2 0.2500 0.7500 0.5000
Os3 0.7500 0.2500 0.5000
Os4 0.7500 0.7500 0.5000
```

Computed properties:
Fermi-level density of states: 5.6 states/eV/f.u.
Final energy: -6.963 eV/atom
Calculated formation energy: 1.020 eV per atom

=====

[7]
Density functional theory data (PBE) for an optimized crystal structure of TlCo2Os.

Structure (CIF):
```
data_TlCo2Os
_chemical_formula_sum 'Tl1 Co2 Os1'
_cell_length_a 2.9420
_cell_length_b 2.9420
_cell_length_c 6.8113
_cell_angle_alpha 90.00
_cell_angle_beta 90.00
_cell_angle_gamma 90.00
_space_group_name_H-M_alt 'P 1'
_space_group_IT_number 1
_space_group_name_Hall 'P 1'
loop_
_atom_site_label
_atom_site_fract_x
_atom_site_fract_y
_atom_site_fract_z
Tl1 0.0000 0.0000 0.0000
Co1 0.0000 0.0000 0.4743
Co2 0.5000 0.5000 0.2833
Os1 0.5000 0.5000 0.6777
```

Computed properties:
Fermi-level density of states: 5.7 states/eV/f.u.
Final energy: -6.342 eV/atom
Calculated formation energy: 0.610 eV per atom

=====

[8]
Density functional theory data (PBE) for an optimized crystal structure of TlCoOs2.

Structure (CIF):
```
data_TlCoOs2
_chemical_formula_sum 'Tl1 Co1 Os2'
_cell_length_a 3.7758
_cell_length_b 3.7758
_cell_length_c 4.3072
_cell_angle_alpha 90.00
_cell_angle_beta 90.00
_cell_angle_gamma 90.00
_space_group_name_H-M_alt 'P 1'
_space_group_IT_number 1
_space_group_name_Hall 'P 1'
loop_
_atom_site_label
_atom_site_fract_x
_atom_site_fract_y
_atom_site_fract_z
Tl1 0.0000 0.0000 0.0000
Co1 0.5000 0.5000 0.0000
Os1 0.0000 0.5000 0.5000
Os2 0.5000 0.0000 0.5000
```

Computed properties:
Fermi-level density of states: 5.7 states/eV/f.u.
Final energy: -7.023 eV/atom
Calculated formation energy: 0.960 eV per atom

=====

[9]
Density functional theory data (PBE) for an optimized crystal structure of TlCo2Os.

Structure (CIF):
```
data_TlCo2Os
_chemical_formula_sum 'Tl2 Co4 Os2'
_cell_length_a 5.7213
_cell_length_b 7.0950
_cell_length_c 2.8095
_cell_angle_alpha 90.00
_cell_angle_beta 90.00
_cell_angle_gamma 90.00
_space_group_name_H-M_alt 'P 1'
_space_group_IT_number 1
_space_group_name_Hall 'P 1'
loop_
_atom_site_label
_atom_site_fract_x
_atom_site_fract_y
_atom_site_fract_z
Tl1 0.0000 0.0000 0.0000
Tl2 0.5000 0.5000 0.0000
Co1 0.2500 0.2500 0.5000
Co2 0.2500 0.7500 0.5000
Co3 0.7500 0.2500 0.5000
Co4 0.7500 0.7500 0.5000
Os1 0.0000 0.5000 0.0000
Os2 0.5000 0.0000 0.0000
```

Computed properties:
Fermi-level density of states: 6.5 states/eV/f.u.
Final energy: -6.290 eV/atom
Calculated formation energy: 0.662 eV per atom

=====

[10]
Density functional theory data (PBE) for an optimized crystal structure of Tl2CoOs.

Structure (CIF):
```
data_Tl2CoOs
_chemical_formula_sum 'Tl2 Co1 Os1'
_cell_length_a 3.1569
_cell_length_b 4.4858
_cell_length_c 5.2177
_cell_angle_alpha 90.00
_cell_angle_beta 90.00
_cell_angle_gamma 90.00
_space_group_name_H-M_alt 'P 1'
_space_group_IT_number 1
_space_group_name_Hall 'P 1'
loop_
_atom_site_label
_atom_site_fract_x
_atom_site_fract_y
_atom_site_fract_z
Tl1 0.0000 0.0000 0.0000
Tl2 0.5000 0.0000 0.5000
Co1 0.0000 0.5000 0.5000
Os1 0.5000 0.5000 0.0000
```

Computed properties:
Fermi-level density of states: 5.6 states/eV/f.u.
Final energy: -4.735 eV/atom
Calculated formation energy: 1.033 eV per atom

=====

[11]
Density functional theory data (PBE) for an optimized crystal structure of Tl2CoOs.

Structure (CIF):
```
data_Tl2CoOs
_chemical_formula_sum 'Tl4 Co2 Os2'
_cell_length_a 6.5276
_cell_length_b 6.5390
_cell_length_c 3.2894
_cell_angle_alpha 90.00
_cell_angle_beta 90.00
_cell_angle_gamma 90.00
_space_group_name_H-M_alt 'P 1'
_space_group_IT_number 1
_space_group_name_Hall 'P 1'
loop_
_atom_site_label
_atom_site_fract_x
_atom_site_fract_y
_atom_site_fract_z
Tl1 0.2500 0.2500 0.0000
Tl2 0.2500 0.7500 0.0000
Tl3 0.7500 0.2500 0.0000
Tl4 0.7500 0.7500 0.0000
Co1 0.0000 0.0000 0.5000
Co2 0.5000 0.5000 0.5000
Os1 0.0000 0.5000 0.5000
Os2 0.5000 0.0000 0.5000
```

Computed properties:
Fermi-level density of states: 5.6 states/eV/f.u.
Final energy: -4.838 eV/atom
Calculated formation energy: 0.929 eV per atom

=====

[12]
Density functional theory data (PBE) for an optimized crystal structure of TlCo2Os.

Structure (CIF):
```
data_TlCo2Os
_chemical_formula_sum 'Tl4 Co8 Os4'
_cell_length_a 6.1606
_cell_length_b 6.1606
_cell_length_c 6.1606
_cell_angle_alpha 90.00
_cell_angle_beta 90.00
_cell_angle_gamma 90.00
_space_group_name_H-M_alt 'P 1'
_space_group_IT_number 1
_space_group_name_Hall 'P 1'
loop_
_atom_site_label
_atom_site_fract_x
_atom_site_fract_y
_atom_site_fract_z
Tl1 0.0000 0.0000 0.0000
Tl2 0.0000 0.5000 0.5000
Tl3 0.5000 0.0000 0.5000
Tl4 0.5000 0.5000 0.0000
Co1 0.2500 0.2500 0.2500
Co2 0.2500 0.2500 0.7500
Co3 0.2500 0.7500 0.2500
Co4 0.2500 0.7500 0.7500
Co5 0.7500 0.2500 0.2500
Co6 0.7500 0.2500 0.7500
Co7 0.7500 0.7500 0.2500
Co8 0.7500 0.7500 0.7500
Os1 0.0000 0.0000 0.5000
Os2 0.0000 0.5000 0.0000
Os3 0.5000 0.0000 0.0000
Os4 0.5000 0.5000 0.5000
```

Computed properties:
Fermi-level density of states: 3.6 states/eV/f.u.
Final energy: -6.287 eV/atom
Calculated formation energy: 0.665 eV per atom